Material: Na3ScAu
Method: DFT, PBE
State: optimized geometry

Results
Total DFT energy (no corrections): -11.7 eV per cell
Energy relative to the elements: 0.382 eV per atom
Energy above the most stable polymorph in this dataset: 0 meV/atom
Mass density: 3.1 g cm⁻³

a = 5.5034 Å, b = 5.5034 Å, c = 5.5034 Å
α = 90.00°, β = 90.00°, γ = 90.00°
Last column: magnetic moment on the atom in μB.
Element x y z (fractional)
1 Na 0.5000 0.0000 0.0000  0.00
2 Na 0.0000 0.5000 0.0000  0.00
3 Sc 0.5000 0.5000 0.5000  0.74
4 Au 0.0000 0.0000 0.0000  0.01
5 Na 0.0000 0.0000 0.5000  0.01